A relaxed structure of SrBeTc4, computed with GGA-PBE.

Summary:
The space group is F-43m, No. 216. The total energy is -7.1186 eV per atom. The value obtained for the formation energy is 693 meV per atom.

Cell lengths 5.2976, 5.2976, 5.2976 Å; angles 60.00, 60.00, 60.00 degrees
Element x y z (fractional)
Tc 0.3760 0.3760 0.3760
Tc 0.8720 0.3760 0.3760
Tc 0.3760 0.8720 0.3760
Tc 0.3760 0.3760 0.8720
Sr 0.0000 0.0000 0.0000
Be 0.7500 0.7500 0.7500